DFT (PBE with a Hubbard U) results for a geometry-optimized VO2F3 structure.

Values from the calculation:
Fermi-level density of states: 0.11 states/eV/f.u.
total magnetic moment: 8.00 Bohr magnetons per cell
raw total energy: -5.2085 eV per atom

Structure (CIF):
```
data_VO2F3
_chemical_formula_sum 'V4 O8 F12'
_cell_length_a 5.4120
_cell_length_b 9.8226
_cell_length_c 7.2973
_cell_angle_alpha 90.00
_cell_angle_beta 109.42
_cell_angle_gamma 90.00
_space_group_name_H-M_alt 'P 1 21/c 1'
_space_group_IT_number 14
loop_
_space_group_symop_operation_xyz
'x,y,z'
'-x,-y,-z'
'-x,y+1/2,-z+1/2'
'x,-y+1/2,z+1/2'
loop_
_atom_site_label
_atom_site_type_symbol
_atom_site_fract_x
_atom_site_fract_y
_atom_site_fract_z
V1 V 0.0000 0.0000 0.0000
V2 V 0.5000 0.0000 0.5000
O1 O 0.0573 0.1608 0.8983
O2 O 0.2767 0.5726 0.4458
F1 F 0.2414 0.0608 0.2662
F2 F 0.2816 0.6290 0.0249
F3 F 0.3750 0.1145 0.6374
```